VASP calculation (PBE) on a geometry-optimized TbErTiAl structure.

Structure (CIF):
```
data_TbErTiAl
_chemical_formula_sum 'Tb4 Er4 Ti4 Al4'
_space_group_name_H-M_alt 'F -4 3 m'
_space_group_IT_number 216
_space_group_name_Hall 'F -4 2 3'
_cell_length_a 7.2530
_cell_length_b 7.2530
_cell_length_c 7.2530
_cell_angle_alpha 90.00
_cell_angle_beta 90.00
_cell_angle_gamma 90.00
loop_
_atom_site_label
_atom_site_fract_x
_atom_site_fract_y
_atom_site_fract_z
Tb1 0.0000 0.0000 0.0000
Er1 0.0000 0.0000 0.5000
Ti1 0.2500 0.2500 0.2500
Al1 0.2500 0.2500 0.7500
```

Results
**N(E_F)**: 20.64 states/eV/cell
**ΔE_f**: -0.053 eV/atom
**Total DFT energy (no corrections)**: -5.260 eV/atom

VASP calculation (PBE) on a geometry-optimized MnZnBr structure.

Structure (CIF):
```
data_MnZnBr
_chemical_formula_sum 'Mn2 Zn2 Br2'
_space_group_name_H-M_alt 'I 4 m m'
_space_group_IT_number 107
_space_group_name_Hall 'I 4 -2'
_cell_length_a 3.2726
_cell_length_b 3.2726
_cell_length_c 11.9210
_cell_angle_alpha 90.00
_cell_angle_beta 90.00
_cell_angle_gamma 90.00
loop_
_atom_site_label
_atom_site_fract_x
_atom_site_fract_y
_atom_site_fract_z
Mn1 0.0000 0.0000 0.0000
Zn1 0.0000 0.0000 0.3807
Br1 0.0000 0.0000 0.6336
```

Results
**N(E_F)**: 3.06 states/eV/cell
**Total DFT energy (no corrections)**: -3.909 eV/atom
**Formation energy (no corrections)**: 0.130 eV/atom
**E above lowest polymorph**: 72 meV per atom

VASP calculation (PBE) on a geometry-optimized MgBeCo structure.

Structure (CIF):
```
data_MgBeCo
_chemical_formula_sum 'Mg1 Be1 Co1'
_space_group_name_H-M_alt 'P 3 m 1'
_space_group_IT_number 156
_cell_length_a 2.7176
_cell_length_b 2.7176
_cell_length_c 6.0338
_cell_angle_alpha 90.00
_cell_angle_beta 90.00
_cell_angle_gamma 120.00
loop_
_space_group_symop_operation_xyz
'x,y,z'
'-y,x-y,z'
'-x+y,-x,z'
'-y,-x,z'
'-x+y,y,z'
'x,x-y,z'
loop_
_atom_site_label
_atom_site_fract_x
_atom_site_fract_y
_atom_site_fract_z
Mg1 0.0000 0.0000 0.0000
Be1 0.3333 0.6667 0.3805
Co1 0.6667 0.3333 0.6424
```

Results
**N(E_F)**: 1.75 states/eV/cell
**ΔE_f**: 0.300 eV/atom
**Total DFT energy (no corrections)**: -3.842 eV/atom
**E above lowest polymorph**: 340 meV per atom

VASP calculation (PBE) on a geometry-optimized Tm5Mg2Sn5 structure.

Structure (CIF):
```
data_Tm5Mg2Sn5
_chemical_formula_sum 'Tm10 Mg4 Sn10'
_space_group_name_H-M_alt 'C 1 2/m 1'
_space_group_IT_number 12
_cell_length_a 14.9179
_cell_length_b 4.0995
_cell_length_c 12.2083
_cell_angle_alpha 90.00
_cell_angle_beta 109.86
_cell_angle_gamma 90.00
loop_
_space_group_symop_operation_xyz
'x,y,z'
'-x,-y,-z'
'-x,y,-z'
'x,-y,z'
'x+1/2,y+1/2,z'
'-x+1/2,-y+1/2,-z'
'-x+1/2,y+1/2,-z'
'x+1/2,-y+1/2,z'
loop_
_atom_site_label
_atom_site_fract_x
_atom_site_fract_y
_atom_site_fract_z
Tm1 0.0000 0.0000 0.0000
Tm2 0.1598 0.0000 0.5364
Tm3 0.2416 0.0000 0.8590
Mg1 0.0565 0.5000 0.2893
Sn1 0.0000 0.5000 0.5000
Sn2 0.1080 0.5000 0.9096
Sn3 0.1970 0.0000 0.2963
```

Results
**N(E_F)**: 10.76 states/eV/cell
**ΔE_f**: -0.370 eV/atom
**Total DFT energy (no corrections)**: -4.167 eV/atom

Number 1: magnetization 2.50 μB per formula unit. Number 2: magnetization 4.00 μB per formula unit. Number 3: magnetization 0.89 μB per formula unit. Number 4: magnetization 0.00 μB per formula unit.